KBaBe2 | PBE | relaxed

The structure in CIF format:
```
data_KBaBe2
_chemical_formula_sum 'K2 Ba2 Be4'
_cell_length_a 7.955
_cell_length_b 7.921
_cell_length_c 3.911
_cell_angle_alpha 90.00
_cell_angle_beta 90.09
_cell_angle_gamma 90.00
_space_group_name_H-M_alt 'C 1 2/m 1'
_space_group_IT_number 12
_space_group_name_Hall '-C 2y'
loop_
_atom_site_label
_atom_site_type_symbol
_atom_site_fract_x
_atom_site_fract_y
_atom_site_fract_z
K1 K 0.000 0.000 0.000
Ba1 Ba 0.000 0.500 0.000
Be1 Be 0.250 0.250 0.500
```

Properties
ΔE_f = 0.91 eV/atom
total magnetic moment = 0.00 μB/f.u.
energy above the lowest structure with this stoichiometry = 378.7 meV per atom